Compound: PrBi2Te4
Source: Alexandria
Functional: PBE-GGA
Structure: optimized geometry

a = 4.689 Å, b = 7.593 Å, c = 14.818 Å
α = 90.00°, β = 90.00°, γ = 107.98°
Fractional positions:
Bi1 0.129 0.257 0.436
Bi2 0.871 0.743 0.564
Te1 0.775 0.550 0.123
Te2 0.500 0.000 0.500
Te3 0.974 0.948 0.750
Pr1 0.624 0.248 0.750
Te4 0.500 0.000 0.000
Te5 0.225 0.450 0.623
Pr2 0.376 0.752 0.250
Te6 0.026 0.052 0.250
Bi3 0.129 0.257 0.064
Te7 0.775 0.550 0.377
Bi4 0.871 0.743 0.936
Te8 0.225 0.450 0.877

Values from the calculation:
Formation energy without anion corrections = -536 meV/atom
Total energy = -57.72 eV per cell
Space group = Cmcm (63)